A relaxed structure of HfBi2Os, computed with PBE-GGA.

Cell: 4.986 4.986 4.986 Å, 60.00 60.00 60.00°
Atoms (fractional coordinates):
1 Bi 0.250 0.250 0.250
2 Hf 0.000 0.000 0.000
3 Bi 0.750 0.750 0.750
4 Os 0.500 0.500 0.500

Properties
Calculated formation energy ... 0.59 eV/atom
Spin magnetization ... 0.0 μB/f.u.
Energy above the most stable polymorph in this dataset ... 0.000 eV/atom

A relaxed structure of Hf3BiOs, computed with PBE-GGA.

Cell: 5.199 5.199 5.199 Å, 90.00 90.00 90.00°
Site moments in Bohr magnetons follow the coordinates.
Atoms (fractional coordinates):
1 Bi 0.000 0.000 0.000  0.01
2 Hf 0.000 0.500 0.000  -0.03
3 Os 0.500 0.500 0.500  1.46
4 Hf 0.500 0.000 0.000  -0.06
5 Hf 0.000 0.000 0.500  -0.06

Properties
Calculated formation energy ... 2.00 eV/atom
Spin magnetization ... 1.4 μB/f.u.
Energy above the most stable polymorph in this dataset ... 1.835 eV/atom

A relaxed structure of HfBi2Os, computed with PBE-GGA.

Cell: 4.361 4.361 10.604 Å, 78.13 78.13 90.00°
Atoms (fractional coordinates):
1 Bi 0.375 0.365 0.750
2 Bi 0.115 0.625 0.250
3 Bi 0.635 0.125 0.250
4 Hf 0.500 0.500 0.000
5 Os 0.000 0.000 0.000
6 Bi 0.875 0.885 0.750
7 Hf 0.250 0.750 0.500
8 Os 0.750 0.250 0.500

Properties
Calculated formation energy ... 0.67 eV/atom
Spin magnetization ... 0.0 μB/f.u.
Energy above the most stable polymorph in this dataset ... 0.087 eV/atom

A relaxed structure of Hf6BiOs, computed with PBE-GGA.

Cell: 6.389 6.194 6.252 Å, 60.30 75.46 59.54°
Atoms (fractional coordinates):
1 Hf 0.267 0.262 0.000
2 Os 0.500 0.500 0.000
3 Hf 0.268 0.957 0.563
4 Hf 0.732 0.480 0.563
5 Bi 0.000 0.000 0.000
6 Hf 0.732 0.043 0.437
7 Hf 0.268 0.520 0.437
8 Hf 0.733 0.738 0.000

Properties
Calculated formation energy ... 0.32 eV/atom
Spin magnetization ... 0.0 μB/f.u.

A relaxed structure of Hf6Bi3Os, computed with PBE-GGA.

Cell: 7.009 7.548 9.322 Å, 90.00 85.65 90.00°
Atoms (fractional coordinates):
1 Hf 0.380 0.816 0.461
2 Hf 0.120 0.316 0.039
3 Os 0.500 0.500 0.500
4 Hf 0.224 0.069 0.756
5 Hf 0.276 0.569 0.744
6 Hf 0.724 0.431 0.256
7 Os 0.000 0.000 0.000
8 Bi 0.092 0.630 0.254
9 Hf 0.620 0.184 0.539
10 Bi 0.000 0.000 0.500
11 Hf 0.776 0.931 0.244
12 Hf 0.322 0.850 0.037
13 Bi 0.908 0.370 0.746
14 Hf 0.678 0.150 0.963
15 Hf 0.822 0.650 0.537
16 Hf 0.880 0.684 0.961
17 Bi 0.408 0.130 0.246
18 Bi 0.592 0.870 0.754
19 Hf 0.178 0.350 0.463
20 Bi 0.500 0.500 0.000

Properties
Calculated formation energy ... 0.04 eV/atom
Spin magnetization ... 0.0 μB/f.u.

A relaxed structure of HfBiOs3, computed with PBE-GGA.

Cell: 4.861 4.861 4.861 Å, 90.00 90.00 90.00°
Atoms (fractional coordinates):
1 Hf 0.500 0.500 0.500
2 Bi 0.000 0.000 0.000
3 Os 0.000 0.000 0.500
4 Os 0.000 0.500 0.000
5 Os 0.500 0.000 0.000

Properties
Calculated formation energy ... 2.42 eV/atom
Spin magnetization ... 0.0 μB/f.u.
Energy above the most stable polymorph in this dataset ... 0.398 eV/atom

A relaxed structure of HfBiOs, computed with PBE-GGA.

Cell: 3.523 3.523 11.764 Å, 98.61 98.61 90.00°
Atoms (fractional coordinates):
1 Bi 0.578 0.578 0.156
2 Hf 0.834 0.834 0.668
3 Bi 0.422 0.422 0.844
4 Os 0.713 0.713 0.426
5 Hf 0.166 0.166 0.332
6 Os 0.287 0.287 0.574

Properties
Calculated formation energy ... -0.03 eV/atom
Spin magnetization ... 0.0 μB/f.u.

A relaxed structure of Hf3BiOs, computed with PBE-GGA.

Cell: 5.054 5.054 5.054 Å, 90.00 90.00 90.00°
Atoms (fractional coordinates):
1 Hf 0.000 0.500 0.000
2 Bi 0.500 0.500 0.500
3 Hf 0.000 0.000 0.500
4 Os 0.000 0.000 0.000
5 Hf 0.500 0.000 0.000

Properties
Calculated formation energy ... 0.17 eV/atom
Spin magnetization ... 0.0 μB/f.u.
Energy above the most stable polymorph in this dataset ... 0.000 eV/atom

Number 1: D(E_F) 6.010 states/eV/cell. Number 2: D(E_F) 3.520 states/eV/cell. Number 3: D(E_F) 6.579 states/eV/cell. Number 4: D(E_F) 8.977 states/eV/cell. Number 5: D(E_F) 12.657 states/eV/cell. Number 6: D(E_F) 4.027 states/eV/cell. Number 7: D(E_F) 5.755 states/eV/cell. Number 8: D(E_F) 5.272 states/eV/cell.